NaCo3As5 | PBE | relaxed

```
NaCo3As5
1.0
-4.8799 -0.2258 1.0650
3.0638 -3.6431 1.5296
1.2457 3.7805 6.5092
Co As Na
3 5 1
direct
0.0000 0.5000 0.5000
0.5000 0.0000 0.5000
0.5000 0.5000 0.5000
0.6667 0.3333 0.2466
0.6667 0.3333 0.7534
0.0000 0.0000 0.5000
0.3333 0.6667 0.2466
0.3333 0.6667 0.7534
0.0000 0.0000 0.0000
```

symmetry	P6/mmm (191)
raw total energy	-47.08	eV for the cell shown